Arrangement 1

A geometry-optimized Ho2TmSc7 structure, computed with GGA-PBE.

Computed properties:
As for the volume: 271.2 Å³/cell.

abc: 14.0020 14.0020 3.3080
angles: 90.00 90.00 155.28
Atoms (fractional coordinates):
Ho 0.2103 0.7897 0.0000
Ho 0.7897 0.2103 0.0000
Tm 0.0000 0.0000 0.5000
Sc 0.1484 0.3457 0.0000
Sc 0.3152 0.6848 0.5000
Sc 0.3457 0.1484 0.0000
Sc 0.5000 0.5000 0.0000
Sc 0.6543 0.8516 0.0000
Sc 0.6848 0.3152 0.5000
Sc 0.8516 0.6543 0.0000


Arrangement 2

A geometry-optimized Ho2TmSc7 structure, computed with GGA-PBE.

Computed properties:
As for the volume: 262.2 Å³/cell.

abc: 8.8351 8.8351 9.4012
angles: 105.53 105.53 21.80
Atoms (fractional coordinates):
Ho 0.1994 0.1994 0.1050
Ho 0.8006 0.8006 0.8950
Tm 0.0000 0.0000 0.0000
Sc 0.0000 0.0000 0.5000
Sc 0.1983 0.1983 0.5942
Sc 0.4008 0.4008 0.2087
Sc 0.4012 0.4012 0.6916
Sc 0.5988 0.5988 0.3084
Sc 0.5992 0.5992 0.7913
Sc 0.8017 0.8017 0.4058


arrangement 2 wins, 148 meV per atom ahead of the next structure.


Arrangement 1

A geometry-optimized Ho4TmSc3 structure, computed with GGA-PBE.

Computed properties:
As for the volume: 226.0 Å³/cell.

abc: 6.8170 6.8170 5.9333
angles: 106.82 106.82 60.45
Atoms (fractional coordinates):
Ho 0.0000 0.5000 0.0000
Ho 0.2481 0.2481 0.4954
Ho 0.5000 0.0000 0.0000
Ho 0.7519 0.7519 0.5046
Tm 0.5000 0.5000 0.0000
Sc 0.0000 0.0000 0.0000
Sc 0.2477 0.7523 0.5000
Sc 0.7523 0.2477 0.5000


Arrangement 2

A geometry-optimized Ho4TmSc3 structure, computed with GGA-PBE.

Computed properties:
As for the volume: 457.0 Å³/cell.

abc: 10.8311 6.9974 6.0305
angles: 90.00 90.00 90.00
Atoms (fractional coordinates):
Ho 0.0000 0.1221 0.0000
Ho 0.0000 0.6280 0.0077
Ho 0.2495 0.6265 0.6713
Ho 0.2505 0.3735 0.1713
Ho 0.5000 0.3720 0.5077
Ho 0.5000 0.8779 0.5000
Ho 0.7495 0.3735 0.1713
Ho 0.7505 0.6265 0.6713
Tm 0.0000 0.8790 0.4968
Tm 0.5000 0.1210 0.9968
Sc 0.0000 0.3723 0.5078
Sc 0.2465 0.1240 0.6661
Sc 0.2535 0.8760 0.1661
Sc 0.5000 0.6277 0.0078
Sc 0.7465 0.8760 0.1661
Sc 0.7535 0.1240 0.6661


arrangement 2 wins, 32 meV per atom ahead of the next structure.